# 1
Compound: K3Cu2RhO6
Source: Alexandria
Functional: PBE
Structure: optimized geometry

Lattice parameters (Å, degrees): 5.517 5.517 6.126 98.60 98.60 120.09
Element x y z (fractional)
O 0.616 0.942 0.829
O 0.058 0.384 0.171
O 0.384 0.058 0.171
O 0.269 0.269 0.828
O 0.942 0.616 0.829
O 0.731 0.731 0.172
Rh 0.000 0.000 0.000
K 0.831 0.169 0.500
K 0.500 0.500 0.500
K 0.169 0.831 0.500
Cu 0.666 0.334 0.000
Cu 0.334 0.666 0.000

## Properties
ρ   4.78 g/cm³
Total magnetization   3.95 Bohr magnetons per cell
Density of states at the Fermi level   3.33 states/eV/f.u.
Formation energy from raw total energies   -0.8870 eV per atom



# 2
Compound: KCu3Rh4O12
Source: Alexandria
Functional: PBE
Structure: optimized geometry

Lattice parameters (Å, degrees): 6.502 6.502 6.502 109.47 109.47 109.47
Element x y z (fractional)
Rh 0.500 0.500 0.500
Rh 0.000 0.000 0.500
Rh 0.500 0.000 0.000
Rh 0.000 0.500 0.000
O 0.493 0.319 0.175
O 0.856 0.681 0.175
O 0.175 0.493 0.319
O 0.175 0.856 0.681
O 0.319 0.175 0.493
O 0.507 0.681 0.825
O 0.681 0.825 0.507
O 0.681 0.175 0.856
O 0.144 0.319 0.825
O 0.825 0.507 0.681
O 0.825 0.144 0.319
O 0.319 0.825 0.144
Cu 0.500 0.000 0.500
Cu 0.500 0.500 0.000
Cu 0.000 0.500 0.500
K 0.000 0.000 0.000

## Properties
ρ   6.54 g/cm³
Total magnetization   2.71 Bohr magnetons per cell
Density of states at the Fermi level   13.86 states/eV/f.u.
Formation energy from raw total energies   -0.7262 eV per atom



# 3
Compound: K2CuRhO4
Source: Alexandria
Functional: PBE
Structure: optimized geometry

Lattice parameters (Å, degrees): 5.546 5.546 5.546 100.44 114.17 114.17
Element x y z (fractional)
O 0.898 0.502 0.126
O 0.625 0.396 0.498
O 0.375 0.874 0.771
O 0.102 0.229 0.604
Rh 0.000 0.500 0.500
K 0.500 0.750 0.250
K 0.000 0.000 0.000
Cu 0.500 0.250 0.750

## Properties
ρ   3.98 g/cm³
Total magnetization   0.00 Bohr magnetons per cell
Density of states at the Fermi level   1.71 states/eV/f.u.
Formation energy from raw total energies   -0.8867 eV per atom